# 1
First-principles (PBEsol) data for a geometry-optimized IrPtO2 structure, as listed in Alexandria via LeMat-Bulk.

CIF file:
```
data_IrPtO2
_space_group_name_H-M_alt 'P 1'
_space_group_IT_number 1
_cell_length_a 3.069
_cell_length_b 3.069
_cell_length_c 6.267
_cell_angle_alpha 75.82
_cell_angle_beta 75.82
_cell_angle_gamma 60.00
loop_
_space_group_symop_operation_xyz
'x,y,z'
loop_
_atom_site_label
_atom_site_fract_x
_atom_site_fract_y
_atom_site_fract_z
Ir1 0.500 0.500 0.500
O1 0.889 0.889 0.333
O2 0.111 0.111 0.667
Pt1 0.000 0.000 0.000
```

Summary:
Total DFT energy (no corrections), eV per atom: -7.078
E_form (uncorrected), eV per atom: -0.2562

# 2
First-principles (PBEsol) data for a geometry-optimized IrPt3O structure, as listed in Alexandria via LeMat-Bulk.

CIF file:
```
data_IrPt3O
_space_group_name_H-M_alt 'P 1'
_space_group_IT_number 1
_cell_length_a 4.138
_cell_length_b 4.138
_cell_length_c 4.138
_cell_angle_alpha 90.00
_cell_angle_beta 90.00
_cell_angle_gamma 90.00
loop_
_space_group_symop_operation_xyz
'x,y,z'
loop_
_atom_site_label
_atom_site_fract_x
_atom_site_fract_y
_atom_site_fract_z
Ir1 0.500 0.500 0.500
O1 0.000 0.000 0.000
Pt1 0.000 0.500 0.000
Pt2 0.000 0.000 0.500
Pt3 0.500 0.000 0.000
```

Summary:
Total DFT energy (no corrections), eV per atom: -6.365
E_form (uncorrected), eV per atom: 0.8274

# 3
First-principles (PBEsol) data for a geometry-optimized RbTa2IrO structure, as listed in Alexandria via LeMat-Bulk.

CIF file:
```
data_RbTa2IrO
_space_group_name_H-M_alt 'P 1'
_space_group_IT_number 1
_cell_length_a 4.210
_cell_length_b 4.210
_cell_length_c 4.895
_cell_angle_alpha 90.00
_cell_angle_beta 90.00
_cell_angle_gamma 90.00
loop_
_space_group_symop_operation_xyz
'x,y,z'
loop_
_atom_site_label
_atom_site_fract_x
_atom_site_fract_y
_atom_site_fract_z
Ir1 0.000 0.000 0.500
O1 0.000 0.000 0.000
Rb1 0.500 0.500 0.500
Ta1 0.000 0.500 0.000
Ta2 0.500 0.000 0.000
```

Summary:
Total DFT energy (no corrections), eV per atom: -7.518
E_form (uncorrected), eV per atom: 0.7222

# 4
First-principles (PBEsol) data for a geometry-optimized ReIrO3 structure, as listed in Alexandria via LeMat-Bulk.

CIF file:
```
data_ReIrO3
_space_group_name_H-M_alt 'P 1'
_space_group_IT_number 1
_cell_length_a 3.910
_cell_length_b 3.910
_cell_length_c 3.910
_cell_angle_alpha 90.00
_cell_angle_beta 90.00
_cell_angle_gamma 90.00
loop_
_space_group_symop_operation_xyz
'x,y,z'
loop_
_atom_site_label
_atom_site_fract_x
_atom_site_fract_y
_atom_site_fract_z
Re1 0.500 0.500 0.500
Ir1 0.000 0.000 0.000
O1 0.000 0.500 0.000
O2 0.000 0.000 0.500
O3 0.500 0.000 0.000
```

Summary:
Total DFT energy (no corrections), eV per atom: -7.027
E_form (uncorrected), eV per atom: 0.7540

# 5
First-principles (PBEsol) data for a geometry-optimized ReIr3O structure, as listed in Alexandria via LeMat-Bulk.

CIF file:
```
data_ReIr3O
_space_group_name_H-M_alt 'P 1'
_space_group_IT_number 1
_cell_length_a 4.682
_cell_length_b 4.682
_cell_length_c 4.682
_cell_angle_alpha 90.00
_cell_angle_beta 90.00
_cell_angle_gamma 90.00
loop_
_space_group_symop_operation_xyz
'x,y,z'
loop_
_atom_site_label
_atom_site_fract_x
_atom_site_fract_y
_atom_site_fract_z
Re1 0.000 0.000 0.000
Ir1 0.000 0.500 0.000
Ir2 0.000 0.000 0.500
Ir3 0.500 0.000 0.000
O1 0.500 0.500 0.500
```

Summary:
Total DFT energy (no corrections), eV per atom: -7.079
E_form (uncorrected), eV per atom: 2.5311

# 6
First-principles (PBEsol) data for a geometry-optimized ReIrO2 structure, as listed in Alexandria via LeMat-Bulk.

CIF file:
```
data_ReIrO2
_space_group_name_H-M_alt 'P 1'
_space_group_IT_number 1
_cell_length_a 4.627
_cell_length_b 4.627
_cell_length_c 5.729
_cell_angle_alpha 113.82
_cell_angle_beta 113.82
_cell_angle_gamma 90.00
loop_
_space_group_symop_operation_xyz
'x,y,z'
loop_
_atom_site_label
_atom_site_fract_x
_atom_site_fract_y
_atom_site_fract_z
Re1 0.750 0.250 0.500
Re2 0.500 0.500 0.000
Ir1 0.250 0.750 0.500
Ir2 0.000 0.000 0.000
O1 0.400 0.875 0.250
O2 0.850 0.375 0.250
O3 0.125 0.150 0.750
O4 0.625 0.600 0.750
```

Summary:
Total DFT energy (no corrections), eV per atom: -8.085
E_form (uncorrected), eV per atom: 0.3284

# 7
First-principles (PBEsol) data for a geometry-optimized IrRuO3 structure, as listed in Alexandria via LeMat-Bulk.

CIF file:
```
data_IrRuO3
_space_group_name_H-M_alt 'P 1'
_space_group_IT_number 1
_cell_length_a 3.875
_cell_length_b 3.875
_cell_length_c 3.875
_cell_angle_alpha 90.00
_cell_angle_beta 90.00
_cell_angle_gamma 90.00
loop_
_space_group_symop_operation_xyz
'x,y,z'
loop_
_atom_site_label
_atom_site_fract_x
_atom_site_fract_y
_atom_site_fract_z
Ru1 0.500 0.500 0.500
Ir1 0.000 0.000 0.000
O1 0.000 0.500 0.000
O2 0.000 0.000 0.500
O3 0.500 0.000 0.000
```

Summary:
Total DFT energy (no corrections), eV per atom: -6.734
E_form (uncorrected), eV per atom: 0.4149

# 8
First-principles (PBEsol) data for a geometry-optimized Sr6Ir2RuO12 structure, as listed in Alexandria via LeMat-Bulk.

CIF file:
```
data_Sr6Ir2RuO12
_space_group_name_H-M_alt 'P 1'
_space_group_IT_number 1
_cell_length_a 5.495
_cell_length_b 6.876
_cell_length_c 8.692
_cell_angle_alpha 112.29
_cell_angle_beta 108.43
_cell_angle_gamma 90.00
loop_
_space_group_symop_operation_xyz
'x,y,z'
loop_
_atom_site_label
_atom_site_fract_x
_atom_site_fract_y
_atom_site_fract_z
Sr1 0.881 0.292 0.763
Sr2 0.216 0.292 0.432
Sr3 0.549 0.294 0.098
Sr4 0.451 0.706 0.902
Sr5 0.784 0.708 0.568
Sr6 0.119 0.708 0.237
Ir1 0.665 0.000 0.330
Ir2 0.335 0.000 0.670
Ru1 0.000 0.000 0.000
O1 0.946 0.676 0.892
O2 0.280 0.673 0.559
O3 0.612 0.674 0.223
O4 0.388 0.326 0.777
O5 0.720 0.327 0.441
O6 0.054 0.324 0.108
O7 0.500 0.000 0.500
O8 0.835 0.000 0.164
O9 0.165 0.000 0.836
O10 0.000 0.000 0.500
O11 0.330 0.000 0.164
O12 0.670 0.000 0.836
```

Summary:
Total DFT energy (no corrections), eV per atom: -6.986
E_form (uncorrected), eV per atom: -2.0404

| no. | DOS at the Fermi energy (states/eV per atom) | total magnetic moment (μB/f.u.) |
| --- | --- | --- |
| 1 | 0.17 | 0.00 |
| 2 | 1.60 | 0.00 |
| 3 | 0.88 | 0.00 |
| 4 | 0.80 | 3.92 |
| 5 | 1.31 | 2.13 |
| 6 | 0.19 | 0.00 |
| 7 | 1.08 | 3.89 |
| 8 | 0.40 | 2.04 |